La2SmDy | the Alexandria database | PBE-GGA | optimized geometry; ΔE to the lowest computed polymorph = 6 meV per atom; space-group type = P4/mmm, No. 123; formation energy from the elements = 0.066 eV/f.u.; D(E_F) = 6.12 states/eV per cell
1.0
5.0947 0.0000 0.0000
0.0000 5.2159 0.0000
0.0000 0.0000 5.2159
La Sm Dy
2 1 1
Direct
0.0000 0.5000 0.0000 La
0.0000 0.0000 0.5000 La
0.5000 0.0000 0.0000 Sm
0.5000 0.5000 0.5000 Dy

---

Ir2PdRu | the Alexandria database | PBE-GGA | optimized geometry; ΔE to the lowest computed polymorph = 478 meV per atom; space-group type = Fm-3m, No. 225; formation energy from the elements = 1.941 eV/f.u.; D(E_F) = 4.34 states/eV per cell
1.0
0.0901 -1.0154 4.2785
-3.6701 0.2892 2.4066
-1.9824 -3.6545 1.4351
Ir Pd Ru
2 1 1
Direct
0.2500 0.2500 0.2500 Ir
0.7500 0.7500 0.7500 Ir
0.5000 0.5000 0.5000 Pd
0.0000 0.0000 0.0000 Ru

---

TcSn2Ru | the Alexandria database | PBE-GGA | optimized geometry; ΔE to the lowest computed polymorph = 639 meV per atom; space-group type = I-42d, No. 122; formation energy from the elements = 2.672 eV/f.u.; D(E_F) = 6.92 states/eV per cell
1.0
7.2877 0.0000 0.0000
0.0000 7.2877 0.0000
3.6438 3.6438 3.0107
Sn Tc Ru
4 2 2
Direct
0.6362 0.1250 0.2500 Sn
0.3750 0.3638 0.7500 Sn
0.1138 0.6250 0.2500 Sn
0.8750 0.8862 0.7500 Sn
0.2500 0.7500 0.5000 Tc
0.5000 0.5000 0.0000 Tc
0.7500 0.2500 0.5000 Ru
0.0000 0.0000 0.0000 Ru

---

MnSi2Ru | the Alexandria database | PBE-GGA | optimized geometry; ΔE_f (raw) = -0.149 eV/atom; space-group type = Cmmm, No. 65; D(E_F) = 2.26 states/eV per cell
1.0
-0.7123 1.9314 1.8229
1.2503 -2.1547 1.1640
6.5604 3.3016 -0.9347
Si Ru Mn
2 1 1
Direct
0.0000 0.0000 0.4930 Si
0.0000 0.0000 0.0070 Si
0.5000 0.5000 0.7500 Ru
0.5000 0.5000 0.2500 Mn

---

TmTiCdHg | the Alexandria database | PBE-GGA | optimized geometry; space-group type = F-43m, No. 216; formation energy from the elements = -0.478 eV/f.u.; D(E_F) = 3.59 states/eV per cell
1.0
-0.8248 -0.6431 4.8840
-1.6897 -4.3855 1.6912
2.9996 -2.9707 2.6694
Tm Cd Ti Hg
1 1 1 1
Direct
0.5000 0.5000 0.5000 Tm
0.2500 0.2500 0.2500 Cd
0.0000 0.0000 0.0000 Ti
0.7500 0.7500 0.7500 Hg

---

LuPu2Al | the Alexandria database | PBE-GGA | optimized geometry; ΔE to the lowest computed polymorph = 133 meV per atom; space-group type = P4/mmm, No. 123; formation energy from the elements = 0.173 eV/f.u.; D(E_F) = 12.59 states/eV per cell
1.0
-3.9410 0.0564 -0.1064
-0.0426 -3.9115 -0.4945
-0.1828 -0.8008 6.3505
Pu Al Lu
2 1 1
Direct
0.0000 0.0000 0.2258 Pu
0.0000 0.0000 0.7742 Pu
0.5000 0.5000 0.0000 Al
0.5000 0.5000 0.5000 Lu

---

IrRhPb2 | the Alexandria database | PBE-GGA | optimized geometry; ΔE to the lowest computed polymorph = 168 meV per atom; space-group type = R-3m, No. 166; formation energy from the elements = 1.459 eV/f.u.; D(E_F) = 2.75 states/eV per cell
1.0
0.8062 7.6487 -3.7581
-2.4447 7.6343 -3.0026
-0.2003 8.5291 -0.7000
Ir Rh Pb
1 1 2
Direct
0.0000 0.0000 0.0000 Ir
0.5000 0.5000 0.5000 Rh
0.7507 0.7507 0.7507 Pb
0.2493 0.2493 0.2493 Pb

---

YNpIrRh | the Alexandria database | PBE-GGA | optimized geometry; space-group type = F-43m, No. 216; formation energy from the elements = -1.997 eV/f.u.; D(E_F) = 6.36 states/eV per cell
1.0
-2.8375 3.9183 -0.2722
-3.9592 0.3217 2.7750
-0.1329 3.1551 3.6751
Rh Np Y Ir
1 1 1 1
Direct
0.2500 0.2500 0.2500 Rh
0.5000 0.5000 0.5000 Np
0.0000 0.0000 0.0000 Y
0.7500 0.7500 0.7500 Ir

---

Nd4CdBr5 | the Alexandria database | PBE-GGA | optimized geometry; ΔE_f (raw) = -1.277 eV/atom; space-group type = C2/m, No. 12; D(E_F) = 3.31 states/eV per cell
1.0
3.9785 0.0000 -0.9352
-0.5733 8.7968 -2.4389
0.1477 0.6428 9.5584
Cd Nd Br
1 4 5
Direct
0.5000 0.0000 0.0000 Cd
0.6638 0.0743 0.3276 Nd
0.0035 0.2450 0.0069 Nd
0.3362 0.9257 0.6724 Nd
0.9965 0.7550 0.9931 Nd
0.8314 0.1734 0.6628 Br
0.1687 0.3196 0.3373 Br
0.8313 0.6804 0.6627 Br
0.5000 0.5000 0.0000 Br
0.1686 0.8266 0.3372 Br

---

Zr2TiTl | the Alexandria database | PBE-GGA | optimized geometry; ΔE to the lowest computed polymorph = 109 meV per atom; space-group type = R-3m, No. 166; formation energy from the elements = 0.247 eV/f.u.; D(E_F) = 4.50 states/eV per cell
1.0
-0.9201 0.3670 -3.0673
1.8585 -1.1172 -2.3848
-4.4399 -8.9724 -1.4352
Tl Ti Zr
1 1 2
Direct
0.5000 0.5000 0.5000 Tl
0.0000 0.0000 0.0000 Ti
0.7457 0.7457 0.7629 Zr
0.2543 0.2543 0.2371 Zr

---

LiAgP2 | the Alexandria database | PBE-GGA | optimized geometry; ΔE to the lowest computed polymorph = 257 meV per atom; space-group type = I-4m2, No. 119; formation energy from the elements = 0.473 eV/f.u.; D(E_F) = 2.03 states/eV per cell
1.0
5.0153 0.0055 0.0000
2.0652 4.5703 0.0000
-3.5402 -2.2879 2.7175
P Ag Li
2 1 1
Direct
0.0000 0.0000 0.0000 P
0.2500 0.7500 0.5000 P
0.5000 0.5000 0.0000 Ag
0.7500 0.2500 0.5000 Li

---

KY2Sc2 | the Alexandria database | PBE-GGA | optimized geometry; ΔE to the lowest computed polymorph = 24 meV per atom; space-group type = P4/mbm, No. 127; formation energy from the elements = 1.953 eV/f.u.; D(E_F) = 13.50 states/eV per cell
1.0
-5.2962 -5.3229 6.3115
4.9086 -8.0592 -2.6780
2.3682 0.6109 2.5024
Sc K Y
4 2 4
Direct
0.6651 0.8349 0.5000 Sc
0.1651 0.6651 0.5000 Sc
0.3349 0.1651 0.5000 Sc
0.8349 0.3349 0.5000 Sc
0.0000 0.0000 0.0000 K
0.5000 0.5000 0.0000 K
0.6208 0.1208 0.0000 Y
0.1208 0.3792 0.0000 Y
0.3792 0.8792 0.0000 Y
0.8792 0.6208 0.0000 Y